Record 1
# KHfMnTe3

KHfMnTe3 after structural relaxation (GGA-PBE, Alexandria via LeMat-Bulk).

- formation energy from raw total energies (eV per atom) = -0.61
- mass density (Mg/m³) = 6.02
- Fermi-level density of states (states/eV per atom) = 0.418
- spin magnetization (μB per atom) = 0.11

a = 9.2177 Å, b = 3.9519 Å, c = 10.6898 Å
α = 90.00°, β = 111.84°, γ = 90.00°
Last column: nearest neighbours and their distance in Å.
Fractional coordinates of all 12 atoms:
K (0.0099, 0.2500, 0.2769)  7 Te 3.49-3.85
K (0.9901, 0.7500, 0.7231)  7 Te 3.49-3.85
Hf (0.5004, 0.2500, 0.1899)  6 Te 2.79-3.02
Hf (0.4996, 0.7500, 0.8101)  6 Te 2.79-3.02
Mn (0.4889, 0.2500, 0.5519)  2 Mn 2.31
Mn (0.5111, 0.7500, 0.4481)  2 Mn 2.31
Te (0.2846, 0.7500, 0.5447)  3 Mn 2.65-2.71, 1 Hf 2.79
Te (0.2864, 0.7500, 0.2048)  1 Mn 2.65, 2 Hf 2.84
Te (0.3165, 0.2500, 0.8902)  3 Hf 2.93-3.02
Te (0.6835, 0.7500, 0.1098)  3 Hf 2.93-3.02
Te (0.7136, 0.2500, 0.7952)  1 Mn 2.65, 2 Hf 2.84
Te (0.7154, 0.2500, 0.4553)  3 Mn 2.65-2.71, 1 Hf 2.79

Record 2
# K3Hf2MnTe6

K3Hf2MnTe6 after structural relaxation (GGA-PBE, Alexandria via LeMat-Bulk).

- formation energy from raw total energies (eV per atom) = -0.80
- mass density (Mg/m³) = 5.59
- Fermi-level density of states (states/eV per atom) = 0.355
- spin magnetization (μB per atom) = 0.36

a = 7.3525 Å, b = 7.3525 Å, c = 8.5723 Å
α = 98.22°, β = 98.22°, γ = 120.00°
Last column: nearest neighbours and their distance in Å.
Fractional coordinates of all 12 atoms:
K (0.0000, 0.0000, 0.0000)  6 Te 3.49-3.50
K (0.3336, 0.6664, 0.0000)  6 Te 3.50
K (0.6664, 0.3336, 0.0000)  6 Te 3.50
Hf (0.1666, 0.8334, 0.5000)  6 Te 2.93
Hf (0.8334, 0.1666, 0.5000)  6 Te 2.93
Mn (0.5000, 0.5000, 0.5000)  6 Te 2.94
Te (0.1005, 0.4345, 0.3036)  2 Hf 2.93, 1 Mn 2.94
Te (0.2315, 0.2315, 0.6965)  2 Hf 2.93, 1 Mn 2.94
Te (0.4345, 0.1005, 0.3036)  2 Hf 2.93, 1 Mn 2.94
Te (0.5655, 0.8995, 0.6964)  2 Hf 2.93, 1 Mn 2.94
Te (0.7685, 0.7685, 0.3035)  2 Hf 2.93, 1 Mn 2.94
Te (0.8995, 0.5655, 0.6964)  2 Hf 2.93, 1 Mn 2.94

Record 3
# K2HfMnTl

K2HfMnTl after structural relaxation (GGA-PBE, Alexandria via LeMat-Bulk).

- energy of formation (eV/atom) = 1.258
- mass density (Mg/m³) = 3.73
- Fermi-level density of states (states/eV per atom) = 1.370
- spin magnetization (μB per atom) = 0.72

a = 6.4380 Å, b = 6.4380 Å, c = 5.5487 Å
α = 90.00°, β = 90.00°, γ = 90.00°
Last column: nearest neighbours and their distance in Å.
Fractional coordinates of all 5 atoms:
K (0.0000, 0.5000, 0.0000)  2 Tl 3.22
K (0.5000, 0.0000, 0.0000)  2 Tl 3.22
Hf (0.0000, 0.0000, 0.5000)  2 Tl 2.77
Mn (0.5000, 0.5000, 0.5000)  8 K 4.25, 4 Hf 4.55
Tl (0.0000, 0.0000, 0.0000)  2 Hf 2.77

Record 4
# KHf2MnV

KHf2MnV after structural relaxation (GGA-PBE, Alexandria via LeMat-Bulk).

- energy of formation (eV/atom) = 1.560
- mass density (Mg/m³) = 6.76
- Fermi-level density of states (states/eV per atom) = 2.072
- spin magnetization (μB per atom) = 0.01

a = 4.7512 Å, b = 4.7512 Å, c = 5.4597 Å
α = 90.00°, β = 90.00°, γ = 90.00°
Last column: nearest neighbours and their distance in Å.
Fractional coordinates of all 5 atoms:
K (0.0000, 0.0000, 0.0000)  2 Mn 2.73
Hf (0.0000, 0.5000, 0.5000)  2 Mn 2.38
Hf (0.5000, 0.0000, 0.5000)  2 Mn 2.38
Mn (0.0000, 0.0000, 0.5000)  4 Hf 2.38
V (0.5000, 0.5000, 0.0000)  4 K 3.36, 8 Hf 3.62

Record 5
# K2HfMnW

K2HfMnW after structural relaxation (GGA-PBE, Alexandria via LeMat-Bulk).

- energy of formation (eV/atom) = 2.075
- mass density (Mg/m³) = 3.93
- Fermi-level density of states (states/eV per atom) = 1.223
- spin magnetization (μB per atom) = 0.69

a = 6.5598 Å, b = 6.5598 Å, c = 4.8706 Å
α = 90.00°, β = 90.00°, γ = 90.00°
Last column: nearest neighbours and their distance in Å.
Fractional coordinates of all 5 atoms:
K (0.0000, 0.5000, 0.0000)  2 Hf 3.28
K (0.5000, 0.0000, 0.0000)  2 Hf 3.28
Hf (0.0000, 0.0000, 0.0000)  2 W 2.44
Mn (0.5000, 0.5000, 0.5000)  8 K 4.09
W (0.0000, 0.0000, 0.5000)  2 Hf 2.44

Record 6
# KHfMo2

KHfMo2 after structural relaxation (GGA-PBE, Alexandria via LeMat-Bulk).

- energy of formation (eV/atom) = 1.541
- mass density (Mg/m³) = 8.41
- Fermi-level density of states (states/eV per atom) = 1.986
- spin magnetization (μB per atom) = 0.00
- relative energy among the computed polymorphs (meV per atom) = 0.0

a = 4.8537 Å, b = 4.8537 Å, c = 4.8537 Å
α = 60.00°, β = 60.00°, γ = 60.00°
Last column: nearest neighbours and their distance in Å.
Fractional coordinates of all 4 atoms:
K (0.0000, 0.0000, 0.0000)  8 Mo 2.97
Hf (0.5000, 0.5000, 0.5000)  8 Mo 2.97
Mo (0.2500, 0.2500, 0.2500)  4 Hf 2.97, 4 K 2.97
Mo (0.7500, 0.7500, 0.7500)  4 Hf 2.97, 4 K 2.97

Record 7
# KHfMo2

KHfMo2 after structural relaxation (GGA-PBE, Alexandria via LeMat-Bulk).

- energy of formation (eV/atom) = 1.647
- mass density (Mg/m³) = 6.40
- Fermi-level density of states (states/eV per atom) = 1.034
- spin magnetization (μB per atom) = 0.00
- relative energy among the computed polymorphs (meV per atom) = 106.2

a = 10.2976 Å, b = 10.2976 Å, c = 10.2976 Å
α = 153.81°, β = 153.81°, γ = 37.38°
Last column: nearest neighbours and their distance in Å.
Fractional coordinates of all 8 atoms:
K (0.0000, 0.0000, 0.0000)  4 Hf 3.30, 4 Mo 3.31
K (0.7500, 0.2500, 0.5000)  4 Hf 3.30, 4 Mo 3.31
Hf (0.2500, 0.7500, 0.5000)  4 Mo 2.74
Hf (0.5000, 0.5000, 0.0000)  4 Mo 2.74
Mo (0.2840, 0.6250, 0.1590)  2 Mo 2.48, 2 Hf 2.74
Mo (0.3750, 0.5340, 0.6590)  2 Mo 2.48, 2 Hf 2.74
Mo (0.4660, 0.1250, 0.8410)  2 Mo 2.48, 2 Hf 2.74
Mo (0.8750, 0.7160, 0.3410)  2 Mo 2.48, 2 Hf 2.74

Record 8
# K3HfMo

K3HfMo after structural relaxation (GGA-PBE, Alexandria via LeMat-Bulk).

- energy of formation (eV/atom) = 2.422
- mass density (Mg/m³) = 3.17
- Fermi-level density of states (states/eV per atom) = 2.145
- spin magnetization (μB per atom) = 0.00
- relative energy among the computed polymorphs (meV per atom) = 243.7

a = 5.9003 Å, b = 5.9003 Å, c = 5.9003 Å
α = 90.00°, β = 90.00°, γ = 90.00°
Last column: nearest neighbours and their distance in Å.
Fractional coordinates of all 5 atoms:
K (0.0000, 0.0000, 0.5000)  2 Mo 2.95
K (0.0000, 0.5000, 0.0000)  2 Mo 2.95
K (0.5000, 0.0000, 0.0000)  2 Mo 2.95
Hf (0.5000, 0.5000, 0.5000)  12 K 4.17
Mo (0.0000, 0.0000, 0.0000)  6 K 2.95

Question: Which value of mass density does entry 5 give?
Answer: 3.93 Mg/m³